{"formula": "Ho12Tl3H5", "functional": "PBE", "state": "relaxed", "e_tot_ev_per_fu": -82.89, "vol_a3_per_fu": 469.5, "dos_ef_per_ev_atom": 0.835, "cell": [[-7.7723, 7.7723, 7.7723], [7.7723, -7.7723, 7.7723], [7.7723, 7.7723, -7.7723]], "species": ["Ho", "Ho", "Ho", "Ho", "Ho", "Ho", "Ho", "Ho", "Ho", "Ho", "Ho", "Ho", "Ho", "Ho", "Ho", "Ho", "Ho", "Ho", "Ho", "Ho", "Ho", "Ho", "Ho", "Ho", "Ho", "Ho", "Ho", "Ho", "Ho", "Ho", "Ho", "Ho", "Ho", "Ho", "Ho", "Ho", "Ho", "Ho", "Ho", "Ho", "Ho", "Ho", "Ho", "Ho", "Ho", "Ho", "Ho", "Ho", "Tl", "Tl", "Tl", "Tl", "Tl", "Tl", "Tl", "Tl", "Tl", "Tl", "Tl", "Tl", "H", "H", "H", "H", "H", "H", "H", "H", "H", "H", "H", "H", "H", "H", "H", "H", "H", "H", "H", "H"], "frac_coords": [[0.0112, 0.2042, 0.1075], [0.0112, 0.3070, 0.9037], [0.0963, 0.6075, 0.4033], [0.0963, 0.9888, 0.6930], [0.0967, 0.7042, 0.6930], [0.0967, 0.8925, 0.4037], [0.1075, 0.0112, 0.2042], [0.1075, 0.5963, 0.9033], [0.1930, 0.2042, 0.5967], [0.1930, 0.4888, 0.5963], [0.2042, 0.1075, 0.0112], [0.2042, 0.5967, 0.1930], [0.2958, 0.3070, 0.9033], [0.2958, 0.4888, 0.3925], [0.3070, 0.9033, 0.2958], [0.3070, 0.9037, 0.0112], [0.3925, 0.2958, 0.4888], [0.3925, 0.5967, 0.9037], [0.4033, 0.0963, 0.6075], [0.4033, 0.8070, 0.7958], [0.4037, 0.0967, 0.8925], [0.4037, 0.8070, 0.5112], [0.4888, 0.3925, 0.2958], [0.4888, 0.5963, 0.1930], [0.5112, 0.4037, 0.8070], [0.5112, 0.6075, 0.7042], [0.5963, 0.1930, 0.4888], [0.5963, 0.9033, 0.1075], [0.5967, 0.1930, 0.2042], [0.5967, 0.9037, 0.3925], [0.6075, 0.4033, 0.0963], [0.6075, 0.7042, 0.5112], [0.6930, 0.0963, 0.9888], [0.6930, 0.0967, 0.7042], [0.7042, 0.5112, 0.6075], [0.7042, 0.6930, 0.0967], [0.7958, 0.4033, 0.8070], [0.7958, 0.8925, 0.9888], [0.8070, 0.5112, 0.4037], [0.8070, 0.7958, 0.4033], [0.8925, 0.4037, 0.0967], [0.8925, 0.9888, 0.7958], [0.9033, 0.1075, 0.5963], [0.9033, 0.2958, 0.3070], [0.9037, 0.0112, 0.3070], [0.9037, 0.3925, 0.5967], [0.9888, 0.6930, 0.0963], [0.9888, 0.7958, 0.8925], [0.1250, 0.2500, 0.3750], [0.1250, 0.3750, 0.7500], [0.2500, 0.3750, 0.1250], [0.2500, 0.8750, 0.6250], [0.3750, 0.1250, 0.2500], [0.3750, 0.7500, 0.1250], [0.6250, 0.2500, 0.8750], [0.6250, 0.8750, 0.7500], [0.7500, 0.1250, 0.3750], [0.7500, 0.6250, 0.8750], [0.8750, 0.6250, 0.2500], [0.8750, 0.7500, 0.6250], [0.0000, 0.0000, 0.0000], [0.0000, 0.0000, 0.5000], [0.0000, 0.5000, 0.0000], [0.0000, 0.5000, 0.5000], [0.1250, 0.7500, 0.8750], [0.1250, 0.8750, 0.2500], [0.2500, 0.1250, 0.8750], [0.2500, 0.6250, 0.3750], [0.3750, 0.2500, 0.6250], [0.3750, 0.6250, 0.7500], [0.5000, 0.0000, 0.0000], [0.5000, 0.0000, 0.5000], [0.5000, 0.5000, 0.0000], [0.5000, 0.5000, 0.5000], [0.6250, 0.3750, 0.2500], [0.6250, 0.7500, 0.3750], [0.7500, 0.3750, 0.6250], [0.7500, 0.8750, 0.1250], [0.8750, 0.1250, 0.7500], [0.8750, 0.2500, 0.1250]]}